DFT (GGA-PBE) results for a geometry-optimized Sr2MnZn structure. Values from VASP.

Results
Magnetic moment, μB per atom: 0.944
Density of states at the Fermi level, states/eV/f.u.: 3.07
Final energy, Ha/atom: -0.119
SG: P4mm (99)

Geometry as Quantum ESPRESSO input:
```
&SYSTEM
  ibrav = 0, nat = 4, ntyp = 3
/
ATOMIC_SPECIES
Sr 87.62 Sr.upf
Mn 54.94 Mn.upf
Zn 65.41 Zn.upf
CELL_PARAMETERS angstrom
3.677 0.000 0.000
0.000 3.677 0.000
0.000 0.000 8.930
ATOMIC_POSITIONS angstrom
Sr 0.000 0.000 0.000
Sr 1.839 1.839 3.471
Mn 1.839 1.839 6.656
Zn 0.000 0.000 5.712
```

***

DFT (GGA-PBE) results for a geometry-optimized La2BeGe3Pt4 structure. Values from VASP.

Results
Magnetic moment, μB per atom: 0.000
Density of states at the Fermi level, states/eV/f.u.: 5.46
Final energy, Ha/atom: -0.224
SG: P-4m2 (115)

Geometry as Quantum ESPRESSO input:
```
&SYSTEM
  ibrav = 0, nat = 10, ntyp = 4
/
ATOMIC_SPECIES
La 138.91 La.upf
Be 9.01 Be.upf
Ge 72.64 Ge.upf
Pt 195.08 Pt.upf
CELL_PARAMETERS angstrom
4.355 0.000 0.000
0.000 4.355 0.000
0.000 0.000 10.077
ATOMIC_POSITIONS angstrom
La 0.000 2.178 2.423
La 2.178 0.000 7.654
Be 2.178 2.178 0.000
Ge 0.000 0.000 0.000
Ge 0.000 2.178 6.388
Ge 2.178 0.000 3.689
Pt 0.000 0.000 5.038
Pt 0.000 2.178 8.892
Pt 2.178 0.000 1.185
Pt 2.178 2.178 5.038
```

***

DFT (GGA-PBE) results for a geometry-optimized DyCdTc structure. Values from VASP.

Results
Magnetic moment, μB per atom: 0.000
Density of states at the Fermi level, states/eV/f.u.: 2.15
Final energy, Ha/atom: -0.196
SG: C2/m (12)

Geometry as Quantum ESPRESSO input:
```
&SYSTEM
  ibrav = 0, nat = 6, ntyp = 3
/
ATOMIC_SPECIES
Dy 162.50 Dy.upf
Cd 112.41 Cd.upf
Tc 98.00 Tc.upf
CELL_PARAMETERS angstrom
6.522 -2.093 0.000
6.522 2.093 0.000
-1.165 0.000 5.109
ATOMIC_POSITIONS angstrom
Dy 1.319 0.000 1.649
Dy 10.560 0.000 3.461
Cd 5.389 0.000 1.114
Cd 6.490 0.000 3.996
Tc 1.898 0.000 4.544
Tc 9.981 0.000 0.565
```

***

DFT (GGA-PBE) results for a geometry-optimized Hf6Ti2Rh structure. Values from VASP.

Results
Magnetic moment, μB per atom: 0.000
Density of states at the Fermi level, states/eV/f.u.: 10.12
Final energy, Ha/atom: -0.339
SG: Immm (71)

Geometry as Quantum ESPRESSO input:
```
&SYSTEM
  ibrav = 0, nat = 9, ntyp = 3
/
ATOMIC_SPECIES
Hf 178.49 Hf.upf
Ti 47.87 Ti.upf
Rh 102.91 Rh.upf
CELL_PARAMETERS angstrom
-1.543 4.504 6.631
1.543 -4.504 6.631
1.543 4.504 -6.631
ATOMIC_POSITIONS angstrom
Hf 1.543 3.018 -4.369
Hf 1.543 3.006 0.000
Hf 0.000 1.486 2.262
Hf 1.543 3.018 4.369
Hf 0.000 1.498 6.631
Hf 0.000 1.486 11.000
Ti 1.543 0.000 4.495
Ti 0.000 4.504 2.136
Rh 0.000 0.000 0.000
```

***

DFT (GGA-PBE) results for a geometry-optimized RbMg4Pb8 structure. Values from VASP.

Results
Magnetic moment, μB per atom: 0.000
Density of states at the Fermi level, states/eV/f.u.: 6.36
SG: R-3m (166)
Excess energy over the best structure of this formula in the dataset, meV/atom: 183

Geometry as Quantum ESPRESSO input:
```
&SYSTEM
  ibrav = 0, nat = 13, ntyp = 3
/
ATOMIC_SPECIES
Rb 85.47 Rb.upf
Mg 24.30 Mg.upf
Pb 207.20 Pb.upf
CELL_PARAMETERS angstrom
4.801 2.772 8.306
-4.801 2.772 8.306
0.000 -5.544 8.306
ATOMIC_POSITIONS angstrom
Rb 0.000 0.000 0.000
Mg -2.401 -1.386 8.306
Mg -2.401 1.386 16.612
Mg 0.000 2.772 8.306
Mg 0.000 0.000 12.459
Pb 0.000 -1.888 10.136
Pb -1.635 0.944 10.136
Pb 0.000 0.000 7.319
Pb -1.635 -0.944 14.782
Pb 1.635 0.944 10.136
Pb 0.000 0.000 17.598
Pb 1.635 -0.944 14.782
Pb 0.000 1.888 14.782
```

***

DFT (GGA-PBE) results for a geometry-optimized Y3TiIn3Te8 structure. Values from VASP.

Results
Magnetic moment, μB per atom: 0.016
Density of states at the Fermi level, states/eV/f.u.: 2.51
Final energy, Ha/atom: -0.182
SG: R-3m (166)

Geometry as Quantum ESPRESSO input:
```
&SYSTEM
  ibrav = 0, nat = 15, ntyp = 4
/
ATOMIC_SPECIES
Y 88.91 Y.upf
Ti 47.87 Ti.upf
In 114.82 In.upf
Te 127.60 Te.upf
CELL_PARAMETERS angstrom
4.300 2.483 8.042
-4.300 2.483 8.042
0.000 -4.965 8.042
ATOMIC_POSITIONS angstrom
Y -2.150 -1.241 8.042
Y -2.150 1.241 16.085
Y 0.000 2.483 8.042
Ti 0.000 0.000 0.000
In -4.300 0.000 12.064
In -2.150 1.241 4.021
In 2.150 1.241 4.021
Te 0.000 -2.663 9.745
Te -2.306 1.332 9.745
Te -2.306 -1.332 14.382
Te 0.000 0.000 6.231
Te 0.000 0.000 17.896
Te 2.306 1.332 9.745
Te 2.306 -1.332 14.382
Te 0.000 2.663 14.382
```

***

DFT (GGA-PBE) results for a geometry-optimized TiZn2Pd6 structure. Values from VASP.

Results
Magnetic moment, μB per atom: 0.000
Density of states at the Fermi level, states/eV/f.u.: 2.70
Final energy, Ha/atom: -0.181
SG: C2/m (12)

Geometry as Quantum ESPRESSO input:
```
&SYSTEM
  ibrav = 0, nat = 9, ntyp = 3
/
ATOMIC_SPECIES
Ti 47.87 Ti.upf
Zn 65.41 Zn.upf
Pd 106.42 Pd.upf
CELL_PARAMETERS angstrom
6.524 -2.966 0.000
6.524 2.966 0.000
-1.331 0.000 3.957
ATOMIC_POSITIONS angstrom
Ti 0.000 0.000 0.000
Zn 3.876 0.000 1.312
Zn 7.840 0.000 2.645
Pd 3.266 1.474 3.309
Pd 5.858 1.475 1.979
Pd 8.449 1.474 0.648
Pd 3.266 -1.474 3.309
Pd 5.858 -1.475 1.979
Pd 8.449 -1.474 0.648
```

***

DFT (GGA-PBE) results for a geometry-optimized Cs2AgH2F6 structure. Values from VASP.

Results
Magnetic moment, μB per atom: 0.095
Density of states at the Fermi level, states/eV/f.u.: 2.10
Final energy, Ha/atom: -0.139
SG: R-3m (166)

Geometry as Quantum ESPRESSO input:
```
&SYSTEM
  ibrav = 0, nat = 11, ntyp = 4
/
ATOMIC_SPECIES
Cs 132.91 Cs.upf
Ag 107.87 Ag.upf
H 1.01 H.upf
F 19.00 F.upf
CELL_PARAMETERS angstrom
2.862 1.653 6.207
-2.862 1.653 6.207
0.000 -3.305 6.207
ATOMIC_POSITIONS angstrom
Cs 0.000 0.000 4.180
Cs 0.000 0.000 14.440
Ag 0.000 0.000 0.000
H 0.000 0.000 7.426
H 0.000 0.000 11.195
F 0.000 -1.384 7.460
F -1.199 0.692 7.460
F -1.199 -0.692 11.161
F 1.199 0.692 7.460
F 1.199 -0.692 11.161
F 0.000 1.384 11.161
```

***

DFT (GGA-PBE) results for a geometry-optimized Nd3Sm2Er7 structure. Values from VASP.

Results
Magnetic moment, μB per atom: 0.000
Density of states at the Fermi level, states/eV/f.u.: 17.50
SG: P2/m (10)
Excess energy over the best structure of this formula in the dataset, meV/atom: 2

Geometry as Quantum ESPRESSO input:
```
&SYSTEM
  ibrav = 0, nat = 12, ntyp = 3
/
ATOMIC_SPECIES
Nd 144.24 Nd.upf
Sm 150.36 Sm.upf
Er 167.26 Er.upf
CELL_PARAMETERS angstrom
6.343 0.000 0.000
0.000 3.530 0.000
-1.915 0.000 17.422
ATOMIC_POSITIONS angstrom
Nd 0.000 0.000 0.000
Nd -0.970 1.765 11.482
Nd 5.398 1.765 5.940
Sm 2.196 0.000 5.675
Sm 2.232 0.000 11.747
Er 1.133 1.765 2.856
Er 0.605 0.000 8.707
Er 0.149 0.000 14.550
Er 3.171 1.765 0.000
Er 4.279 0.000 2.872
Er 3.823 0.000 8.714
Er 3.295 1.765 14.565
```

***

DFT (GGA-PBE) results for a geometry-optimized KSBr2 structure. Values from VASP.

Results
Magnetic moment, μB per atom: 0.750
Density of states at the Fermi level, states/eV/f.u.: 0.08
SG: Fm-3m (225)
Excess energy over the best structure of this formula in the dataset, meV/atom: 294

Geometry as Quantum ESPRESSO input:
```
&SYSTEM
  ibrav = 0, nat = 4, ntyp = 3
/
ATOMIC_SPECIES
K 39.10 K.upf
S 32.06 S.upf
Br 79.90 Br.upf
CELL_PARAMETERS angstrom
0.000 3.906 3.906
3.906 0.000 3.906
3.906 3.906 0.000
ATOMIC_POSITIONS angstrom
K 0.000 0.000 0.000
S 3.906 3.906 3.906
Br 1.953 1.953 1.953
Br 5.859 5.859 5.859
```

***

DFT (GGA-PBE) results for a geometry-optimized Dy2Al4Ir3Pt structure. Values from VASP.

Results
Magnetic moment, μB per atom: 0.000
Density of states at the Fermi level, states/eV/f.u.: 4.79
Final energy, Ha/atom: -0.244
SG: P-4m2 (115)

Geometry as Quantum ESPRESSO input:
```
&SYSTEM
  ibrav = 0, nat = 10, ntyp = 4
/
ATOMIC_SPECIES
Dy 162.50 Dy.upf
Al 26.98 Al.upf
Ir 192.22 Ir.upf
Pt 195.08 Pt.upf
CELL_PARAMETERS angstrom
4.161 0.000 0.000
0.000 4.161 0.000
0.000 0.000 10.470
ATOMIC_POSITIONS angstrom
Dy 0.000 2.081 2.591
Dy 2.081 0.000 7.878
Al 0.000 0.000 5.235
Al 0.000 2.081 9.130
Al 2.081 0.000 1.340
Al 2.081 2.081 5.235
Ir 0.000 0.000 0.000
Ir 0.000 2.081 6.674
Ir 2.081 0.000 3.796
Pt 2.081 2.081 0.000
```

***

DFT (GGA-PBE) results for a geometry-optimized Zn2FeBr structure. Values from VASP.

Results
Magnetic moment, μB per atom: 0.673
Density of states at the Fermi level, states/eV/f.u.: 2.43
SG: Imm2 (44)
Excess energy over the best structure of this formula in the dataset, meV/atom: 225

Geometry as Quantum ESPRESSO input:
```
&SYSTEM
  ibrav = 0, nat = 4, ntyp = 3
/
ATOMIC_SPECIES
Zn 65.41 Zn.upf
Fe 55.84 Fe.upf
Br 79.90 Br.upf
CELL_PARAMETERS angstrom
-1.509 2.654 4.611
1.509 -2.654 4.611
1.509 2.654 -4.611
ATOMIC_POSITIONS angstrom
Zn 0.000 0.000 0.000
Zn 0.000 2.654 2.228
Fe 0.000 0.000 4.786
Br 1.509 0.000 2.840
```